# LaAlFe2, relaxed, DFT PBE
data_LaAlFe2
_chemical_formula_sum 'La1 Al1 Fe2'
_symmetry_space_group_name_H-M 'P 1'
_symmetry_Int_Tables_number 1
_symmetry_space_group_name_Hall 'P 1'
_cell_length_a 3.2319
_cell_length_b 4.5574
_cell_length_c 4.5574
_cell_angle_alpha 90.00
_cell_angle_beta 90.00
_cell_angle_gamma 90.00
loop_
_atom_site_label
_atom_site_type_symbol
_atom_site_fract_x
_atom_site_fract_y
_atom_site_fract_z
_atom_site_occupancy
Al1 Al 0.5000 0.0000 0.5000 1
Fe1 Fe 0.0000 0.0000 0.0000 1
Fe2 Fe 0.0000 0.5000 0.5000 1
La1 La 0.5000 0.5000 0.0000 1
# D(E_F) (states/eV per atom): 1.585
# ΔE_f (eV/atom): 0.252
# Raw total energy (eV/atom): -6.147